The following is a GGA+U calculation of a relaxed structure of CaTl2Co3F12, from the Alexandria database.

CIF file:
```
data_CaTl2Co3F12
_chemical_formula_sum 'Ca1 Tl2 Co3 F12'
_cell_length_a 7.297
_cell_length_b 7.297
_cell_length_c 7.297
_cell_angle_alpha 61.53
_cell_angle_beta 61.53
_cell_angle_gamma 61.53
_symmetry_space_group_name_H-M 'P 1'
_symmetry_Int_Tables_number 1
_symmetry_space_group_name_Hall 'P 1'
loop_
_atom_site_label
_atom_site_type_symbol
_atom_site_fract_x
_atom_site_fract_y
_atom_site_fract_z
_atom_site_occupancy
F1 F 0.379 0.896 0.896 1
F2 F 0.104 0.104 0.621 1
F3 F 0.293 0.293 0.917 1
F4 F 0.917 0.293 0.293 1
F5 F 0.621 0.104 0.104 1
F6 F 0.104 0.621 0.104 1
Co1 Co 0.000 0.000 0.500 1
F7 F 0.896 0.896 0.379 1
Ca1 Ca 0.000 0.000 0.000 1
F8 F 0.083 0.707 0.707 1
Co2 Co 0.500 0.000 0.000 1
F9 F 0.707 0.707 0.083 1
F10 F 0.293 0.917 0.293 1
Co3 Co 0.000 0.500 0.000 1
F11 F 0.896 0.379 0.896 1
Tl1 Tl 0.629 0.629 0.629 1
F12 F 0.707 0.083 0.707 1
Tl2 Tl 0.371 0.371 0.371 1
```

Properties
V ... 284 Å³/cell
Total DFT energy (no corrections) ... -84.74 eV/f.u.
Crystal system ... trigonal
Space-group type ... R-3m (166)
DOS at the Fermi energy ... 3.67 states/eV/cell